Record 1
Here is crystalline Sr2ScAl3Pt4 at its relaxed geometry from the Alexandria database. Energies are from PBE.

It has space group P-4m2 (No. 115), with a = 4.4183 Å, b = 4.4183 Å, c = 10.6786 Å, α = 90.00°, β = 90.00° and γ = 90.00°. The inequivalent atoms are Sr at (0.0000, 0.5000, 0.2361), Sc at (0.0000, 0.0000, 0.5000), Al at (0.0000, 0.5000, 0.8832), Al at (0.5000, 0.5000, 0.5000), Pt at (0.0000, 0.0000, 0.0000), Pt at (0.0000, 0.5000, 0.6419) and Pt at (0.5000, 0.5000, 0.0000).

The value obtained for the energy relative to the elements is -10.0 eV per formula unit.



Record 2
Here is crystalline SrSc2AlPt at its relaxed geometry from the Alexandria database. Energies are from PBE.

It has space group P4/mmm (No. 123), with a = 5.1127 Å, b = 5.1127 Å, c = 5.7463 Å, α = 90.00°, β = 90.00° and γ = 90.00°. The inequivalent atoms are Sr at (0.0000, 0.0000, 0.0000), Sc at (0.0000, 0.5000, 0.5000), Al at (0.5000, 0.5000, 0.0000) and Pt at (0.0000, 0.0000, 0.5000).

The value obtained for the energy relative to the elements is -0.6 eV per formula unit.



Record 3
Here is crystalline TbSc2AlPt4 at its relaxed geometry from the Alexandria database. Energies are from PBE.

It has space group R-3m (No. 166, hexagonal axes), with a = 4.5747 Å, b = 4.5747 Å, c = 24.2993 Å, α = 90.00°, β = 90.00° and γ = 120.00°. The inequivalent atoms are Tb at (0.0000, 0.0000, 0.0000), Sc at (0.0000, 0.0000, 0.2436), Al at (0.0000, 0.0000, 0.5000), Pt at (0.0000, 0.0000, 0.1305) and Pt at (0.0000, 0.0000, 0.3952).

The value obtained for the energy relative to the elements is -9.3 eV per formula unit.



Record 4
Here is crystalline Tb2ScAl3Pt4 at its relaxed geometry from the Alexandria database. Energies are from PBE.

It has space group P-4m2 (No. 115), with a = 4.1768 Å, b = 4.1768 Å, c = 11.0707 Å, α = 90.00°, β = 90.00° and γ = 90.00°. The inequivalent atoms are Tb at (0.0000, 0.5000, 0.2372), Sc at (0.0000, 0.0000, 0.5000), Al at (0.0000, 0.5000, 0.8740), Al at (0.5000, 0.5000, 0.5000), Pt at (0.0000, 0.0000, 0.0000), Pt at (0.0000, 0.5000, 0.6496) and Pt at (0.5000, 0.5000, 0.0000).

The value obtained for the energy relative to the elements is -11.0 eV per formula unit.



Record 5
Here is crystalline Tb2ScAl2Pt5 at its relaxed geometry from the Alexandria database. Energies are from PBE.

It has space group P4/mbm (No. 127), with a = 9.9789 Å, b = 9.9789 Å, c = 3.6855 Å, α = 90.00°, β = 90.00° and γ = 90.00°. The inequivalent atoms are Tb at (0.1757, 0.3243, 0.0000), Sc at (0.0000, 0.0000, 0.0000), Al at (0.1227, 0.6227, 0.0000), Pt at (0.0000, 0.5000, 0.5000) and Pt at (0.0642, 0.7913, 0.5000).

The value obtained for the energy relative to the elements is -11.2 eV per formula unit.



Record 6
Here is crystalline Tb2ScAl4Pt3 at its relaxed geometry from the Alexandria database. Energies are from PBE.

It has space group P-4m2 (No. 115), with a = 4.1445 Å, b = 4.1445 Å, c = 11.3761 Å, α = 90.00°, β = 90.00° and γ = 90.00°. The inequivalent atoms are Tb at (0.0000, 0.5000, 0.2361), Sc at (0.0000, 0.0000, 0.5000), Al at (0.0000, 0.0000, 0.0000), Al at (0.0000, 0.5000, 0.6562), Al at (0.5000, 0.5000, 0.0000), Pt at (0.0000, 0.5000, 0.8717) and Pt at (0.5000, 0.5000, 0.5000).

The value obtained for the energy relative to the elements is -9.6 eV per formula unit.



Record 7
Here is crystalline ScAlTcPt at its relaxed geometry from the Alexandria database. Energies are from PBE.

It has space group F-43m (No. 216), with a = 6.3014 Å, b = 6.3014 Å, c = 6.3014 Å, α = 90.00°, β = 90.00° and γ = 90.00°. The inequivalent atoms are Sc at (0.0000, 0.0000, 0.0000), Al at (0.0000, 0.0000, 0.5000), Tc at (0.2500, 0.2500, 0.2500) and Pt at (0.2500, 0.2500, 0.7500).

The value obtained for the energy relative to the elements is -2.9 eV per formula unit.



Record 8
Here is crystalline ScAlTc2Pt at its relaxed geometry from the Alexandria database. Energies are from PBE.

It has space group P4/mmm (No. 123), with a = 4.6278 Å, b = 4.6278 Å, c = 4.7642 Å, α = 90.00°, β = 90.00° and γ = 90.00°. The inequivalent atoms are Sc at (0.0000, 0.0000, 0.0000), Al at (0.5000, 0.5000, 0.5000), Tc at (0.0000, 0.5000, 0.0000) and Pt at (0.0000, 0.0000, 0.5000).

The value obtained for the energy relative to the elements is 6.7 eV per formula unit.



Quick rundown of calculated volume, same order as above: 20.85; 30.04; 18.35; 19.31; 18.35; 19.54; 15.64; 20.41 Å³/atom
Quick rundown of total magnetization, same order as above: 0.00; 0.00; 0.00; 0.00; 0.00; 0.00; 0.00; 0.69 μB/atom
Quick rundown of uncorrected energy, same order as above: -5.509; -4.955; -6.817; -6.197; -6.446; -5.828; -7.344; -6.032 eV per atom